[1]
YCrRu2: single point on PBEsol structure, SCAN.

Properties
- energy above the most stable polymorph in this dataset (meV per atom) = 101
- DOS(E_F) (states/eV/cell) = 3.48
- space group = Imm2, No. 44
- crystal system = orthorhombic

Geometry as extended XYZ:
```
4
Lattice="3.047 0.000 0.000 0.000 4.503 0.000 -1.524 -2.251 4.668" Properties=species:S:1:pos:R:3 pbc="T T T"
Cr 0.000 2.251 2.539
Ru 1.524 2.251 4.661
Ru 1.524 0.000 2.160
Y 0.000 0.000 4.644
```

---

[2]
Ta2SiTe: single point on PBEsol structure, SCAN.

Properties
- energy above the most stable polymorph in this dataset (meV per atom) = 88
- DOS(E_F) (states/eV/cell) = 1.67
- space group = Fm-3m, No. 225
- crystal system = cubic

Geometry as extended XYZ:
```
4
Lattice="-2.857 -3.432 -1.159 -0.314 -3.743 2.678 -3.821 -0.754 2.472" Properties=species:S:1:pos:R:3 pbc="T T T"
Si -3.496 -3.964 1.995
Ta -1.748 -1.982 0.998
Ta -5.244 -5.947 2.993
Te 0.000 0.000 0.000
```

---

[3]
Sr3Cr2N4: single point on PBEsol structure, SCAN.

Properties
- raw total energy (Ry/atom) = -1.2172
- DOS(E_F) (states/eV/cell) = 3.84
- space group = Pnna, No. 52
- crystal system = orthorhombic

Geometry as extended XYZ:
```
36
Lattice="5.786 0.000 0.000 0.000 9.483 0.000 0.000 0.000 9.766" Properties=species:S:1:pos:R:3 pbc="T T T"
Sr 2.194 5.512 8.232
Sr 0.699 5.512 1.534
Sr 2.194 8.712 6.417
Sr 0.699 8.712 3.349
Sr 3.592 3.971 1.534
Sr 5.088 3.971 8.232
Sr 3.592 0.771 3.349
Sr 5.088 0.771 6.417
Sr 1.447 5.674 4.883
Sr 1.447 8.551 0.000
Sr 4.340 3.809 4.883
Sr 4.340 0.933 0.000
Cr 1.447 2.507 4.883
Cr 1.447 2.235 0.000
Cr 4.340 6.976 4.883
Cr 4.340 7.248 0.000
Cr 1.995 2.371 7.324
Cr 0.898 2.371 2.441
Cr 3.791 7.112 2.441
Cr 4.889 7.112 7.324
N 0.840 3.495 6.324
N 2.053 3.495 3.441
N 0.840 1.246 8.324
N 2.053 1.246 1.441
N 4.946 5.988 3.441
N 3.734 5.988 6.324
N 4.946 8.237 1.441
N 3.734 8.237 8.324
N 2.778 1.589 5.743
N 0.115 1.589 4.023
N 2.778 3.152 8.905
N 0.115 3.152 0.860
N 3.008 7.894 4.023
N 5.672 7.894 5.743
N 3.008 6.331 0.860
N 5.672 6.331 8.905
```

---

[4]
CdInIr: single point on PBEsol structure, SCAN.

Properties
- raw total energy (Ry/atom) = -3.3174
- DOS(E_F) (states/eV/cell) = 0.98
- space group = Pmmm, No. 47
- crystal system = orthorhombic

Geometry as extended XYZ:
```
3
Lattice="2.957 0.000 0.000 0.000 4.516 0.000 0.000 0.000 4.686" Properties=species:S:1:pos:R:3 pbc="T T T"
Ir 1.479 0.000 2.343
In 0.000 2.258 2.343
Cd 0.000 0.000 0.000
```